## Cs2CdSiAu (GGA-PBE)

Data for Cs2CdSiAu after structural relaxation.

CIF file:
```
data_Cs2CdSiAu
_chemical_formula_sum 'Cs2 Cd1 Si1 Au1'
_cell_length_a 7.1434
_cell_length_b 7.1434
_cell_length_c 4.6546
_cell_angle_alpha 90.00
_cell_angle_beta 90.00
_cell_angle_gamma 90.00
_symmetry_space_group_name_H-M 'P 4/m m m'
_symmetry_Int_Tables_number 123
_symmetry_space_group_name_Hall '-P 4 2'
loop_
_atom_site_label
_atom_site_fract_x
_atom_site_fract_y
_atom_site_fract_z
_atom_site_occupancy
Cs1 0.0000 0.5000 0.0000 1
Cd1 0.0000 0.0000 0.5000 1
Si1 0.5000 0.5000 0.5000 1
Au1 0.5000 0.5000 0.0000 1
```

Calculated values
calculated volume	47.503	Å³/atom
ΔE_f (raw)	0.0175	eV per atom
calculated density	4.218	g/cm³
total DFT energy (no corrections)	-2.25	eV per atom

=====

## CsCdSn2Au4 (GGA-PBE)

Data for CsCdSn2Au4 after structural relaxation.

CIF file:
```
data_CsCdSn2Au4
_chemical_formula_sum 'Cs3 Cd3 Sn6 Au12'
_cell_length_a 4.8022
_cell_length_b 4.8022
_cell_length_c 32.9799
_cell_angle_alpha 90.00
_cell_angle_beta 90.00
_cell_angle_gamma 120.00
_symmetry_space_group_name_H-M 'R -3 m'
_symmetry_Int_Tables_number 166
_symmetry_space_group_name_Hall '-R 3 2"'
loop_
_atom_site_label
_atom_site_fract_x
_atom_site_fract_y
_atom_site_fract_z
_atom_site_occupancy
Cs1 0.0000 0.0000 0.0000 1
Cd1 0.0000 0.0000 0.5000 1
Sn1 0.0000 0.0000 0.2384 1
Au1 0.0000 0.0000 0.1488 1
Au2 0.0000 0.0000 0.4135 1
```

Calculated values
formation energy	-0.187	eV/atom
calculated volume	27.444	Å³/atom
calculated density	9.610	g/cm³
total DFT energy (no corrections)	-3.05	eV per atom

=====

Number 2 is which compound? CsCdSn2Au4